[1]
Entry from Alexandria: an optimized crystal structure of SrAl2PSe (GGA-PBE).

Calculated values
- space-group type = P4/mmm, No. 123
- total DFT energy (no corrections) (eV/atom) = -3.43

Cell: 5.0468 5.3120 5.0468 Å, 90.00 90.00 90.00°
Last column: nearest neighbours and their distance in Å.
Sites, in units of the cell vectors:
Sr 0.5000 0.5000 0.5000  4 P 3.57, 8 Al 3.66
Al 0.0000 0.0000 0.5000  2 Se 2.52
Al 0.5000 0.0000 0.0000  2 Se 2.52
P 0.0000 0.5000 0.0000  2 Se 2.66
Se 0.0000 0.0000 0.0000  4 Al 2.52, 2 P 2.66

[2]
Entry from Alexandria: an optimized crystal structure of Sr2AlPSe (GGA-PBE).

Calculated values
- space-group type = P4/mmm, No. 123
- total DFT energy (no corrections) (eV/atom) = -3.96

Cell: 5.8145 4.6098 5.8145 Å, 90.00 90.00 90.00°
Last column: nearest neighbours and their distance in Å.
Sites, in units of the cell vectors:
Sr 0.5000 0.0000 0.0000  2 P 2.91
Sr 0.0000 0.0000 0.5000  2 P 2.91
P 0.0000 0.0000 0.0000  2 Al 2.30
Al 0.0000 0.5000 0.0000  2 P 2.30
Se 0.5000 0.5000 0.5000  8 Sr 3.71, 4 Al 4.11

[3]
Entry from Alexandria: an optimized crystal structure of Tb6AlP2Se3 (GGA-PBE).

Calculated values
- space-group type = C2/m, No. 12
- total DFT energy (no corrections) (eV/atom) = -5.90

Cell: 4.0385 8.3445 9.2217 Å, 103.57 102.65 90.00°
Last column: nearest neighbours and their distance in Å.
Sites, in units of the cell vectors:
P 0.1678 0.3355 0.3356  6 Tb 2.80-2.86
P 0.8322 0.6645 0.6644  6 Tb 2.80-2.86
Se 0.5000 0.5000 0.0000  6 Tb 2.89-3.01
Se 0.1672 0.8307 0.3344  6 Tb 2.90-3.00
Se 0.8328 0.1693 0.6656  6 Tb 2.90-3.00
Tb 0.6671 0.0971 0.3343  2 P 2.83, 3 Se 2.90-3.00, 1 Al 2.92
Tb 0.3329 0.9029 0.6657  2 P 2.83, 3 Se 2.90-3.00, 1 Al 2.92
Tb 0.9958 0.7449 0.9917  1 P 2.86, 3 Se 2.89-2.99, 2 Al 2.92
Tb 0.6722 0.5713 0.3443  3 P 2.80-2.81, 3 Se 2.98-3.01
Tb 0.3278 0.4287 0.6557  3 P 2.80-2.81, 3 Se 2.98-3.01
Tb 0.0042 0.2551 0.0083  1 P 2.86, 3 Se 2.89-2.99, 2 Al 2.92
Al 0.5000 0.0000 0.0000  6 Tb 2.92

[4]
Entry from Alexandria: an optimized crystal structure of Th6AlP2Se3 (GGA-PBE).

Calculated values
- space-group type = C2/m, No. 12
- total DFT energy (no corrections) (eV/atom) = -7.11

Cell: 4.2339 8.4255 9.4598 Å, 103.26 102.93 90.00°
Last column: nearest neighbours and their distance in Å.
Sites, in units of the cell vectors:
P 0.1688 0.3360 0.3375  6 Th 2.88-2.90
P 0.8312 0.6640 0.6625  6 Th 2.88-2.90
Se 0.1641 0.8327 0.3281  6 Th 3.03-3.08
Se 0.8359 0.1673 0.6719  6 Th 3.03-3.08
Se 0.5000 0.5000 0.0000  6 Th 3.00-3.06
Th 0.3293 0.4282 0.6586  3 P 2.88-2.90, 3 Se 3.06-3.08
Th 0.9932 0.7483 0.9864  1 P 2.90, 2 Al 2.98, 3 Se 3.00-3.06
Th 0.0068 0.2517 0.0136  1 P 2.90, 2 Al 2.98, 3 Se 3.00-3.06
Th 0.6707 0.5718 0.3414  3 P 2.88-2.90, 3 Se 3.06-3.08
Th 0.3332 0.9009 0.6664  2 P 2.90, 1 Al 2.99, 3 Se 3.03-3.08
Th 0.6668 0.0991 0.3336  2 P 2.90, 1 Al 2.99, 3 Se 3.03-3.08
Al 0.5000 0.0000 0.0000  6 Th 2.98-2.99

[5]
Entry from Alexandria: an optimized crystal structure of AlTlP2Se8 (GGA-PBE).

Calculated values
- space-group type = R-3, No. 148
- total DFT energy (no corrections) (eV/atom) = -3.85

Cell: 5.9280 5.9280 11.4902 Å, 75.05 75.05 60.00°
Last column: nearest neighbours and their distance in Å.
Sites, in units of the cell vectors:
Se 0.6431 0.2971 0.1527  1 P 2.30, 1 Al 2.57
Se 0.7029 0.0928 0.8473  1 P 2.30, 1 Al 2.57
Se 0.3569 0.7029 0.8473  1 P 2.30, 1 Al 2.57
Se 0.8048 0.8048 0.5855  1 P 2.16
Se 0.1952 0.1952 0.4145  1 P 2.16
Se 0.9072 0.6431 0.1527  1 P 2.30, 1 Al 2.57
Se 0.2971 0.9072 0.1527  1 P 2.30, 1 Al 2.57
Se 0.0928 0.3569 0.8473  1 P 2.30, 1 Al 2.57
Tl 0.5000 0.5000 0.5000  6 Se 3.55
P 0.7393 0.7393 0.7821  4 Se 2.16-2.30
P 0.2607 0.2607 0.2179  4 Se 2.16-2.30
Al 0.0000 0.0000 0.0000  6 Se 2.57

[6]
Entry from Alexandria: an optimized crystal structure of Al2SiP (GGA-PBE).

Calculated values
- energy relative to the lowest polymorph listed for this composition (eV per atom) = 0.070
- space-group type = Pmm2, No. 25

Cell: 3.6423 3.6224 5.1802 Å, 90.00 90.00 90.00°
Last column: nearest neighbours and their distance in Å.
Sites, in units of the cell vectors:
Al 0.0000 0.0000 0.8763  4 Si 2.57, 2 P 2.59
Al 0.5000 0.5000 0.3741  4 P 2.57, 2 Si 2.59
Si 0.5000 0.5000 0.8740  6 Al 2.57-2.59
P 0.0000 0.0000 0.3754  6 Al 2.57-2.59

[7]
Entry from Alexandria: an optimized crystal structure of AlSi2P (GGA-PBE).

Calculated values
- energy relative to the lowest polymorph listed for this composition (eV per atom) = 0.333
- space-group type = P4/mmm, No. 123

Cell: 3.3319 3.3319 5.3766 Å, 90.00 90.00 90.00°
Last column: nearest neighbours and their distance in Å.
Sites, in units of the cell vectors:
Si 0.0000 0.0000 0.5162  1 Si 2.51, 4 P 2.67, 4 Al 2.76
Si 0.0000 0.0000 0.9838  1 Si 2.51, 4 P 2.67, 4 Al 2.76
P 0.5000 0.5000 0.7500  8 Si 2.67, 2 Al 2.69
Al 0.5000 0.5000 0.2500  2 P 2.69, 8 Si 2.76

[8]
Entry from Alexandria: an optimized crystal structure of Al2SiP (GGA-PBE).

Calculated values
- energy relative to the lowest polymorph listed for this composition (eV per atom) = 0.016
- space-group type = C2/m, No. 12

Cell: 3.5071 3.5071 6.7213 Å, 75.28 75.28 59.87°
Last column: nearest neighbours and their distance in Å.
Sites, in units of the cell vectors:
Al 0.4910 0.4910 0.5235  3 P 2.49, 3 Si 2.67-2.69
Al 0.0090 0.0090 0.9765  3 P 2.49, 3 Si 2.67-2.69
P 0.7500 0.7500 0.7500  6 Al 2.49
Si 0.2500 0.2500 0.2500  6 Al 2.67-2.69